(1)
Compound: Er3ThAl4
Source: Alexandria via LeMat-Bulk
Functional: GGA-PBE
Structure: optimized geometry

Cell and atoms, written as POSCAR:
```
Er3ThAl4
1.0
-1.5095 -3.9347 -2.8391
-1.0860 -3.9602 6.0659
-9.5880 3.3423 0.4655
Al Th Er
8 2 6
Cartesian
-1.5819 -4.9835 3.2003
-6.3759 -3.3124 3.4331
-1.0136 -2.9114 0.0265
-5.8076 -1.2403 0.2593
-8.0203 -0.5152 4.9651
-4.7314 -6.1097 1.9015
-4.1631 -4.0374 -1.2727
-7.4521 1.5571 1.7909
-0.5430 -1.9801 3.0330
-5.3370 -0.3090 3.2657
0.0000 0.0000 0.0000
-4.7940 1.6712 0.2327
-7.9476 0.5344 -1.0740
-3.1498 -1.1268 -1.2996
-8.4902 -1.4445 1.9598
-3.6933 -3.1081 1.7325
```

Output
Magnetic moment, μB per cell: 0.000
ΔE_f, eV per atom: -0.3373
Total DFT energy (no corrections), eV/atom: -4.85
Calculated volume, Å³ per atom: 23.647
SG: Pmma, No. 51

(2)
Compound: Re2TcTe
Source: Alexandria via LeMat-Bulk
Functional: GGA-PBE
Structure: optimized geometry

Cell and atoms, written as POSCAR:
```
Re2TcTe
1.0
4.8942 -0.0083 0.0413
3.9695 2.8629 0.0413
0.5541 0.1785 4.7396
Re Tc Te
2 1 1
Cartesian
0.6727 0.2167 4.5071
7.1171 2.2922 3.7398
4.5649 1.4702 2.4410
2.3259 0.7491 1.2853
```

Output
Magnetic moment, μB per cell: 0.000
Total DFT energy (no corrections), eV/atom: -9.04
Calculated volume, Å³ per atom: 16.623
SG: Cm, No. 8

(3)
Compound: SrCaCdHg2
Source: Alexandria via LeMat-Bulk
Functional: GGA-PBE
Structure: optimized geometry

Cell and atoms, written as POSCAR:
```
SrCaCdHg2
1.0
5.4514 0.0000 0.0000
-2.7257 4.7211 0.0000
0.0000 0.0000 6.0934
Sr Ca Cd Hg
1 1 1 2
Cartesian
0.0000 0.0000 5.6109
2.7257 1.5737 2.3322
0.0000 3.1474 4.0046
0.0000 3.1474 0.9883
2.7257 1.5737 5.3442
```

Output
Magnetic moment, μB per cell: 0.000
ΔE_f, eV per atom: -0.3660
Total DFT energy (no corrections), eV/atom: -1.41
Calculated volume, Å³ per atom: 31.365
SG: P3m1, No. 156

(4)
Compound: RbCdPb3
Source: Alexandria via LeMat-Bulk
Functional: GGA-PBE
Structure: optimized geometry

Cell and atoms, written as POSCAR:
```
RbCdPb3
1.0
-0.3873 -5.7651 2.4392
-1.9482 -2.2115 -5.5362
5.9490 -1.0996 -1.6543
Pb Rb Cd
3 1 1
Cartesian
-0.9741 -1.1058 -2.7681
2.9745 -0.5498 -0.8271
-0.1936 -2.8825 1.2196
0.0000 0.0000 0.0000
1.8067 -4.5381 -2.3756
```

Output
Magnetic moment, μB per cell: 0.000
ΔE_f, eV per atom: 1.0893
Total DFT energy (no corrections), eV/atom: -1.51
Calculated volume, Å³ per atom: 49.342
SG: Pm-3m, No. 221
E above lowest polymorph, meV/atom: 1178

(5)
Compound: PuMgTl4
Source: Alexandria via LeMat-Bulk
Functional: GGA-PBE
Structure: optimized geometry

Cell and atoms, written as POSCAR:
```
PuMgTl4
1.0
-1.3917 -3.3079 3.8763
1.8241 -1.6029 2.7519
-0.6559 7.6905 9.7191
Pu Mg Tl
1 1 4
Cartesian
-0.1117 1.3899 8.1736
0.0000 0.0000 0.0000
0.7492 -1.8300 5.7507
-0.9727 4.6097 10.5966
0.1566 4.6559 7.4611
-0.3800 -1.8761 8.8862
```

Output
Magnetic moment, μB per cell: 6.339
ΔE_f, eV per atom: 0.0277
Total DFT energy (no corrections), eV/atom: -4.20
Calculated volume, Å³ per atom: 27.675
SG: P-1, No. 2

(6)
Compound: BeCN2
Source: Alexandria via LeMat-Bulk
Functional: GGA-PBE
Structure: optimized geometry

Cell and atoms, written as POSCAR:
```
BeCN2
1.0
-1.4658 -0.9562 5.6458
0.4560 -2.6765 1.2442
2.1232 -0.3409 2.0726
Be C N
1 1 2
Cartesian
1.2867 -3.0085 5.1000
2.0042 -0.7205 2.5900
-0.8092 -1.5930 5.3273
0.0749 -1.8861 4.3741
```

Output
Magnetic moment, μB per cell: 0.000
Total DFT energy (no corrections), eV/atom: -7.25
Calculated volume, Å³ per atom: 9.273
SG: R3m, No. 160

(7)
Compound: LiSm2RuO6
Source: Alexandria via LeMat-Bulk
Functional: GGA-PBE
Structure: optimized geometry

Cell and atoms, written as POSCAR:
```
LiSm2RuO6
1.0
5.8118 0.0000 0.0000
0.0000 5.3979 -0.0071
0.0000 5.3182 7.6947
Li Sm Ru O
2 4 2 12
Cartesian
2.9059 2.6989 -0.0036
0.0000 5.3581 3.8438
0.4427 7.9344 5.7782
5.3691 2.7817 1.9094
3.3486 5.4408 5.7568
2.4632 5.2753 1.9308
2.9059 2.6591 3.8474
0.0000 0.0000 0.0000
4.5966 7.0989 4.2850
1.2152 3.6172 3.4026
1.6907 6.2763 7.2499
4.1211 4.4398 0.4377
2.6944 8.6178 5.7222
3.1174 2.0983 1.9654
5.6003 4.7574 5.8127
0.2115 5.9587 1.8748
1.8461 6.4328 4.2360
3.9656 4.2833 3.4515
4.7520 6.9424 7.2989
1.0597 3.7737 0.3887
```

Output
Magnetic moment, μB per cell: 6.005
Total DFT energy (no corrections), eV/atom: -7.45
Calculated volume, Å³ per atom: 12.081
SG: P2_1/c, No. 14

(8)
Compound: Pm2ZnSb
Source: Alexandria via LeMat-Bulk
Functional: GGA-PBE
Structure: optimized geometry

Cell and atoms, written as POSCAR:
```
Pm2ZnSb
1.0
-2.7027 -2.7757 0.7847
0.0831 -1.1499 -3.7810
4.9839 -4.4401 1.4599
Sb Zn Pm
1 1 2
Cartesian
1.1822 -4.1829 -0.7682
-1.3098 -1.9628 -1.4981
3.7478 -3.3388 1.0978
1.2362 -1.1013 0.3621
```

Output
Magnetic moment, μB per cell: 0.001
Total DFT energy (no corrections), eV/atom: -4.36
Calculated volume, Å³ per atom: 26.690
SG: P4/mmm, No. 123
E above lowest polymorph, meV/atom: 0

(9)
Compound: VWS
Source: Alexandria via LeMat-Bulk
Functional: GGA-PBE
Structure: optimized geometry

Cell and atoms, written as POSCAR:
```
VWS
1.0
3.1635 0.0000 0.0000
0.0000 3.1635 0.0000
0.0000 0.0000 9.6681
S V W
2 2 2
Cartesian
0.0000 1.5817 6.3595
1.5817 0.0000 3.3086
1.5817 0.0000 7.3240
0.0000 1.5817 2.3441
0.0000 1.5817 8.9181
1.5817 0.0000 0.7499
```

Output
Magnetic moment, μB per cell: 0.001
Total DFT energy (no corrections), eV/atom: -9.20
Calculated volume, Å³ per atom: 16.126
SG: P4/nmm, No. 129
E above lowest polymorph, meV/atom: 0

(10)
Compound: KBaTe2
Source: Alexandria via LeMat-Bulk
Functional: GGA-PBE
Structure: optimized geometry

Cell and atoms, written as POSCAR:
```
KBaTe2
1.0
-5.6428 0.0554 1.8022
-1.8427 -3.8737 4.0855
-1.3480 1.8678 5.4577
Ba K Te
1 1 2
Cartesian
-4.4167 -0.9752 5.6727
-6.6251 -1.4629 8.5091
0.0000 0.0000 0.0000
-2.2084 -0.4876 2.8364
```

Output
Magnetic moment, μB per cell: 0.004
Total DFT energy (no corrections), eV/atom: -3.05
Calculated volume, Å³ per atom: 36.749
SG: F-43m, No. 216

(11)
Compound: NpTiNbMo
Source: Alexandria via LeMat-Bulk
Functional: GGA-PBE
Structure: optimized geometry

Cell and atoms, written as POSCAR:
```
NpTiNbMo
1.0
-0.3323 -0.9821 4.5380
3.8004 -1.1972 2.4066
1.7777 2.9286 3.1514
Np Mo Nb Ti
1 1 1 1
Cartesian
0.0000 0.0000 0.0000
2.6230 0.3746 5.0480
1.3115 0.1873 2.5240
3.9344 0.5620 7.5720
```

Output
Magnetic moment, μB per cell: 2.337
ΔE_f, eV per atom: 0.2631
Total DFT energy (no corrections), eV/atom: -10.17
Calculated volume, Å³ per atom: 17.831
SG: F-43m, No. 216

(12)
Compound: Pr2C2F
Source: Alexandria via LeMat-Bulk
Functional: GGA-PBE
Structure: optimized geometry

Cell and atoms, written as POSCAR:
```
Pr2C2F
1.0
-1.9904 1.5519 -3.5968
4.8221 -2.6308 -3.8035
-3.9588 -5.3820 2.5523
Pr C F
4 4 2
Cartesian
-2.2334 -0.5431 -2.6408
0.8884 -2.4127 -3.2581
1.1063 -5.9178 -2.2072
-2.0155 -4.0482 -1.5898
-1.6547 -2.8673 -3.6835
-2.3863 -1.8862 -0.1714
0.5276 -3.5936 -1.1645
1.2592 -4.5747 -4.6766
2.5174 -1.1160 -4.8390
0.3144 0.0372 -2.5613
```

Output
Magnetic moment, μB per cell: 0.000
Total DFT energy (no corrections), eV/atom: -7.18
Calculated volume, Å³ per atom: 18.918
SG: C2/c, No. 15

(13)
Compound: Be2FeCu
Source: Alexandria via LeMat-Bulk
Functional: GGA-PBE
Structure: optimized geometry

Cell and atoms, written as POSCAR:
```
Be2FeCu
1.0
2.7051 0.0000 0.0000
0.0000 2.6357 0.0292
0.0000 2.5687 5.2771
Be Fe Cu
2 1 1
Cartesian
0.0000 2.5709 5.1719
0.0000 2.5999 2.7584
1.3525 3.9033 3.9798
1.3525 1.3011 1.3266
```

Output
Magnetic moment, μB per cell: 0.900
ΔE_f, eV per atom: -0.1206
Total DFT energy (no corrections), eV/atom: -5.12
Calculated volume, Å³ per atom: 9.355
SG: P2/m, No. 10

(14)
Compound: LiAl2SnF
Source: Alexandria via LeMat-Bulk
Functional: GGA-PBE
Structure: optimized geometry

Cell and atoms, written as POSCAR:
```
LiAl2SnF
1.0
5.4938 0.0000 0.0000
0.0000 3.3614 0.0000
0.0000 0.0000 5.4938
F Li Sn Al
1 1 1 2
Cartesian
0.0000 1.6807 0.0000
0.0000 0.0000 0.0000
2.7469 1.6807 2.7469
0.0000 0.0000 2.7469
2.7469 0.0000 0.0000
```

Output
Magnetic moment, μB per cell: 0.000
Total DFT energy (no corrections), eV/atom: -3.50
Calculated volume, Å³ per atom: 20.290
SG: P4/mmm, No. 123

(15)
Compound: PmNdS
Source: Alexandria via LeMat-Bulk
Functional: GGA-PBE
Structure: optimized geometry

Cell and atoms, written as POSCAR:
```
PmNdS
1.0
7.4946 0.0000 0.0000
0.0000 10.8727 0.0000
0.0000 -5.4364 4.2008
Nd S Pm
4 4 4
Cartesian
0.0000 5.4364 2.4608
0.0000 0.0000 1.7400
3.7473 0.0000 2.4608
3.7473 5.4364 1.7400
5.9714 6.0455 0.0000
2.2241 10.2635 0.0000
1.5232 4.8272 0.0000
5.2705 0.6092 0.0000
5.0141 8.6180 0.0000
6.2278 3.1816 0.0000
1.2668 7.6911 0.0000
2.4805 2.2547 0.0000
```

Output
Magnetic moment, μB per cell: 0.000
Total DFT energy (no corrections), eV/atom: -5.72
Calculated volume, Å³ per atom: 28.526
SG: Cmce, No. 64
E above lowest polymorph, meV/atom: 82

(16)
Compound: K2CdRh
Source: Alexandria via LeMat-Bulk
Functional: GGA-PBE
Structure: optimized geometry

Cell and atoms, written as POSCAR:
```
K2CdRh
1.0
-7.9494 2.4432 -5.6000
-6.4895 -0.0337 -7.6425
-2.8583 -2.7514 1.2936
Cd K Rh
1 2 1
Cartesian
-4.3243 -0.0855 -2.9872
-4.0833 -2.2034 -0.2466
-7.4236 -0.7190 -4.4343
-12.9729 -0.2565 -8.9617
```

Output
Magnetic moment, μB per cell: 0.000
ΔE_f, eV per atom: 0.1561
Total DFT energy (no corrections), eV/atom: -2.46
Calculated volume, Å³ per atom: 35.483
SG: C2/m, No. 12

(17)
Compound: K4Rb5Au4
Source: Alexandria via LeMat-Bulk
Functional: GGA-PBE
Structure: optimized geometry

Cell and atoms, written as POSCAR:
```
K4Rb5Au4
1.0
5.2888 0.0000 1.3447
2.6444 10.2943 0.6723
0.1077 0.0000 10.6492
K Rb Au
4 5 4
Cartesian
6.1117 5.2396 9.1811
3.9977 2.9023 6.4227
1.9292 5.0547 3.4852
4.0432 7.3920 6.2435
6.1972 9.5341 8.8448
1.8437 0.7602 3.8215
0.0000 0.0000 0.0000
5.1014 7.0450 2.0814
2.9394 3.2493 10.5848
4.8615 3.3057 3.0250
3.1793 6.9886 9.6412
7.1186 8.5605 5.2208
0.9223 1.7338 7.4454
```

Output
Magnetic moment, μB per cell: 0.000
ΔE_f, eV per atom: -0.1731
Total DFT energy (no corrections), eV/atom: -1.89
Calculated volume, Å³ per atom: 44.484
SG: I4/m, No. 87

(18)
Compound: KSrRe3
Source: Alexandria via LeMat-Bulk
Functional: GGA-PBE
Structure: optimized geometry

Cell and atoms, written as POSCAR:
```
KSrRe3
1.0
4.8053 0.0000 0.0000
0.0000 4.8053 0.0000
0.0000 0.0000 4.8053
Re K Sr
3 1 1
Cartesian
0.0000 2.4027 0.0000
0.0000 0.0000 2.4027
2.4027 0.0000 0.0000
0.0000 0.0000 0.0000
2.4027 2.4027 2.4027
```

Output
Magnetic moment, μB per cell: 3.046
ΔE_f, eV per atom: 3.4359
Total DFT energy (no corrections), eV/atom: -4.59
Calculated volume, Å³ per atom: 22.192
SG: Pm-3m, No. 221
E above lowest polymorph, meV/atom: 0

(19)
Compound: Ta2Si2Ru
Source: Alexandria via LeMat-Bulk
Functional: GGA-PBE
Structure: optimized geometry

Cell and atoms, written as POSCAR:
```
Ta2Si2Ru
1.0
6.0929 0.0000 0.0000
0.0000 6.0929 0.0000
0.0000 0.0000 4.0939
Ru Si Ta
2 4 4
Cartesian
0.0000 0.0000 0.0000
3.0465 3.0465 0.0000
2.2053 5.2518 0.0000
5.2518 3.8876 0.0000
3.8876 0.8411 0.0000
0.8411 2.2053 0.0000
0.9768 4.0233 2.0469
4.0233 5.1161 2.0469
5.1161 2.0696 2.0469
2.0696 0.9768 2.0469
```

Output
Magnetic moment, μB per cell: 0.000
Total DFT energy (no corrections), eV/atom: -9.34
Calculated volume, Å³ per atom: 15.198
SG: P4/mbm, No. 127

(20)
Compound: PmErScTi
Source: Alexandria via LeMat-Bulk
Functional: GGA-PBE
Structure: optimized geometry

Cell and atoms, written as POSCAR:
```
PmErScTi
1.0
5.2942 0.0000 0.0000
2.6471 4.5849 0.0000
2.6471 1.5283 4.3227
Sc Pm Ti Er
1 1 1 1
Cartesian
7.9413 4.5849 3.2420
0.0000 0.0000 0.0000
2.6471 1.5283 1.0807
5.2942 3.0566 2.1614
```

Output
Magnetic moment, μB per cell: 1.960
ΔE_f, eV per atom: 0.2230
Total DFT energy (no corrections), eV/atom: -5.66
Calculated volume, Å³ per atom: 26.232
SG: F-43m, No. 216